# 1
La2Pr4SmHo2 | PBE | relaxed

formation energy	0.02	eV/atom

a = 15.6327 Å, b = 5.2113 Å, c = 8.1800 Å
α = 90.00°, β = 108.70°, γ = 90.00°
Space group C2/m (No. 12)
Asymmetric unit:
La: 0.1115 0.0000 0.1704 (multiplicity 4)
Pr: 0.0554 0.5000 0.8302 (multiplicity 4)
Pr: 0.2208 0.0000 0.8285 (multiplicity 4)
Sm: 0.0000 0.0000 0.5000 (multiplicity 2)
Ho: 0.1674 0.5000 0.5000 (multiplicity 4)

---

# 2
LaPrSm6Ho2 | PBE | relaxed

formation energy	0.12	eV/atom

a = 9.3472 Å, b = 15.2247 Å, c = 9.7184 Å
α = 90.00°, β = 96.97°, γ = 90.00°
Space group C2/c (No. 15)
Asymmetric unit:
La: 0.0000 0.0938 0.2500 (multiplicity 4)
Pr: 0.0000 0.4662 0.7500 (multiplicity 4)
Sm: 0.0666 0.3236 0.4425 (multiplicity 8)
Sm: 0.0944 0.1103 0.6188 (multiplicity 8)
Sm: 0.2089 0.2719 0.8211 (multiplicity 8)
Ho: 0.2467 0.4508 0.0492 (multiplicity 8)

---

# 3
La4PrSm2Ho | PBE | relaxed

formation energy	0.02	eV/atom

a = 5.2322 Å, b = 5.2665 Å, c = 10.2484 Å
α = 90.00°, β = 90.06°, γ = 90.00°
Space group P2/m (No. 10)
Asymmetric unit:
La: 0.0004 0.0000 0.2471 (multiplicity 2)
La: 0.4994 0.5000 0.7528 (multiplicity 2)
Pr: 0.0000 0.5000 0.5000 (multiplicity 1)
Sm: 0.0000 0.5000 0.0000 (multiplicity 1)
Sm: 0.5000 0.0000 0.5000 (multiplicity 1)
Ho: 0.5000 0.0000 0.0000 (multiplicity 1)

---

# 4
LaPrSmHo3 | PBE | relaxed

formation energy	0.18	eV/atom

a = 20.1076 Å, b = 5.6547 Å, c = 7.0944 Å
α = 90.00°, β = 90.15°, γ = 90.00°
Space group C2/m (No. 12)
Asymmetric unit:
La: 0.1467 0.0000 0.0392 (multiplicity 4)
Pr: 0.0546 0.5000 0.2596 (multiplicity 4)
Sm: 0.1493 0.0000 0.4637 (multiplicity 4)
Ho: 0.0239 0.0000 0.7439 (multiplicity 4)
Ho: 0.1652 0.5000 0.7406 (multiplicity 4)
Ho: 0.2215 0.5000 0.2463 (multiplicity 4)

---

What is the formula in the second record?
LaPrSm6Ho2

---

formation energy of number 3 (La4PrSm2Ho)?
0.02 eV/atom

---

Number 1 is which compound?
La2Pr4SmHo2